[1]
The following is a PBE-GGA calculation of a relaxed structure of Cs2TeW2, from Alexandria.

Cell and atoms, written as POSCAR:
```
Cs2TeW2
1.0
3.640 0.000 0.000
0.000 3.640 0.000
1.820 1.820 12.918
Cs W Te
2 2 1
Cartesian
3.640 3.640 10.127
1.820 1.820 2.792
1.820 3.640 6.459
3.640 1.820 6.459
0.000 0.000 0.000
```

Properties
formation energy without anion corrections	739	meV per atom
magnetic moment	0.000	μB per atom
DFT total energy	-27.06	eV per cell
SG	I4/mmm (139)
energy relative to the lowest polymorph listed for this composition	0	meV per atom

[2]
The following is a PBE-GGA calculation of a relaxed structure of CsTeW3, from Alexandria.

Cell and atoms, written as POSCAR:
```
CsTeW3
1.0
4.995 0.000 0.000
0.000 4.995 0.000
0.000 0.000 4.995
Cs W Te
1 3 1
Cartesian
0.000 0.000 0.000
0.000 2.497 0.000
0.000 0.000 2.497
2.497 0.000 0.000
2.497 2.497 2.497
```

Properties
formation energy without anion corrections	3902	meV per atom
magnetic moment	0.234	μB per atom
DFT total energy	-23.35	eV per cell
SG	Pm-3m (221)
energy relative to the lowest polymorph listed for this composition	1146	meV per atom

[3]
The following is a PBE-GGA calculation of a relaxed structure of Cs3TeW, from Alexandria.

Cell and atoms, written as POSCAR:
```
Cs3TeW
1.0
-3.139 -5.671 -3.374
-1.239 -3.164 6.470
-6.482 3.351 0.397
Cs Te W
3 1 1
Cartesian
-1.569 -2.836 -1.687
-3.241 1.676 0.199
-0.620 -1.582 3.235
0.000 0.000 0.000
-5.430 -2.742 1.746
```

Properties
formation energy without anion corrections	787	meV per atom
magnetic moment	1.000	μB per atom
DFT total energy	-14.72	eV per cell
SG	Pm-3m (221)
energy relative to the lowest polymorph listed for this composition	0	meV per atom

[4]
The following is a PBE-GGA calculation of a relaxed structure of CsTeW2, from Alexandria.

Cell and atoms, written as POSCAR:
```
CsTeW2
1.0
-0.998 -0.264 6.289
-2.082 -5.995 -0.582
3.675 -5.013 3.602
W Te Cs
4 2 2
Cartesian
-0.512 -5.035 1.355
0.072 -9.206 7.697
1.591 -6.138 4.838
0.040 -2.167 4.726
-1.540 -3.130 2.853
0.027 -7.069 2.936
0.568 -4.204 6.372
0.000 0.000 0.000
```

Properties
formation energy without anion corrections	2900	meV per atom
magnetic moment	0.000	μB per atom
DFT total energy	-36.60	eV per cell
SG	I-42d (122)
energy relative to the lowest polymorph listed for this composition	781	meV per atom

[5]
The following is a PBE-GGA calculation of a relaxed structure of Cs2TeW2, from Alexandria.

Cell and atoms, written as POSCAR:
```
Cs2TeW2
1.0
11.218 0.000 0.000
0.000 11.218 0.000
0.000 0.000 3.270
Cs Te W
4 2 4
Cartesian
3.214 8.824 0.000
2.395 3.214 0.000
8.004 2.395 0.000
8.824 8.004 0.000
0.000 0.000 0.000
5.609 5.609 0.000
10.464 4.855 1.635
0.754 6.363 1.635
6.363 10.464 1.635
4.855 0.754 1.635
```

Properties
formation energy without anion corrections	1440	meV per atom
magnetic moment	0.000	μB per atom
DFT total energy	-47.12	eV per cell
SG	P4/mbm (127)
energy relative to the lowest polymorph listed for this composition	701	meV per atom

[6]
The following is a PBE-GGA calculation of a relaxed structure of Cs2YTeW, from Alexandria.

Cell and atoms, written as POSCAR:
```
Cs2YTeW
1.0
7.069 0.000 0.000
0.000 5.068 0.000
0.000 0.000 7.069
W Cs Te Y
1 2 1 1
Cartesian
0.000 2.534 0.000
0.000 0.000 3.535
3.535 0.000 0.000
3.535 2.534 3.535
0.000 0.000 0.000
```

Properties
formation energy without anion corrections	1270	meV per atom
magnetic moment	0.456	μB per atom
DFT total energy	-17.92	eV per cell
SG	P4/mmm (123)

[7]
The following is a PBE-GGA calculation of a relaxed structure of CsYTe2, from Alexandria.

Cell and atoms, written as POSCAR:
```
CsYTe2
1.0
4.313 -2.490 0.000
0.000 4.980 0.000
0.000 0.000 9.266
Te Y Cs
2 1 1
Cartesian
2.875 0.000 2.876
1.438 2.490 6.786
1.438 2.490 4.046
0.000 0.000 9.040
```

Properties
formation energy without anion corrections	-1068	meV per atom
magnetic moment	0.000	μB per atom
DFT total energy	-17.87	eV per cell
SG	P3m1 (156)

[8]
The following is a PBE-GGA calculation of a relaxed structure of CsYTe4, from Alexandria.

Cell and atoms, written as POSCAR:
```
CsYTe4
1.0
6.889 0.000 0.000
0.000 6.889 0.000
0.000 0.000 9.604
Y Te Cs
2 8 2
Cartesian
3.444 3.444 0.000
0.000 0.000 0.000
5.885 2.440 1.835
1.004 2.440 7.770
5.885 4.448 7.770
4.448 1.004 7.770
2.440 5.885 7.770
2.440 1.004 1.835
4.448 5.885 1.835
1.004 4.448 1.835
0.000 0.000 4.802
3.444 3.444 4.802
```

Properties
formation energy without anion corrections	-953	meV per atom
magnetic moment	0.000	μB per atom
DFT total energy	-51.20	eV per cell
SG	P4/nbm (125)

Question: What is the magnetic moment in the third record?
Answer: 1.000 μB per atom